{"formula": "PuIrPd", "functional": "PBE", "state": "relaxed", "sg": "I4mm", "rho_kg_m3": 15968, "dos_ef_per_ev_fu": 9.0, "formation_enthalpy_0k_ev_per_atom": -0.200, "magmom_total_mub_per_cell": 4.48, "relative_energy_ev_per_atom": 0.302, "crystal_system": "tetragonal", "cell": [[-1.7747, 1.7747, 4.4792], [1.7747, -1.7747, 4.4792], [1.7747, 1.7747, -4.4792]], "species": ["Pu", "Ir", "Pd"], "frac_coords": [[0.0000, 0.0000, 0.0000], [0.3491, 0.3491, 0.0000], [0.6789, 0.6789, 0.0000]]}

---

{"formula": "PuIrPd", "functional": "PBE", "state": "relaxed", "sg": "P-6m2", "rho_kg_m3": 15923, "dos_ef_per_ev_fu": 7.9, "formation_enthalpy_0k_ev_per_atom": -0.256, "magmom_total_mub_per_cell": 4.81, "relative_energy_ev_per_atom": 0.246, "crystal_system": "hexagonal", "cell": [[4.5808, 0.0000, 0.0000], [-2.2904, 3.9670, 0.0000], [0.0000, 0.0000, 3.1140]], "species": ["Pu", "Ir", "Pd"], "frac_coords": [[0.0000, 0.0000, 0.0000], [0.3333, 0.6667, 0.5000], [0.6667, 0.3333, 0.5000]]}

---

{"formula": "Pu5Ir2Pd4", "functional": "PBE", "state": "relaxed", "sg": "Pbam", "rho_kg_m3": 14764, "dos_ef_per_ev_fu": 51.9, "formation_enthalpy_0k_ev_per_atom": -0.382, "magmom_total_mub_per_cell": 9.39, "crystal_system": "orthorhombic", "cell": [[7.4597, 0.0000, 0.0000], [0.0000, 17.2642, 0.0000], [0.0000, 0.0000, 3.5460]], "species": ["Pu", "Pu", "Pu", "Pu", "Pu", "Pu", "Pu", "Pu", "Pu", "Pu", "Ir", "Ir", "Ir", "Ir", "Pd", "Pd", "Pd", "Pd", "Pd", "Pd", "Pd", "Pd"], "frac_coords": [[0.0000, 0.0000, 0.0000], [0.1126, 0.4281, 0.0000], [0.2249, 0.2144, 0.0000], [0.2751, 0.7144, 0.0000], [0.3874, 0.9281, 0.0000], [0.5000, 0.5000, 0.0000], [0.6126, 0.0719, 0.0000], [0.7249, 0.2856, 0.0000], [0.7751, 0.7856, 0.0000], [0.8874, 0.5719, 0.0000], [0.0208, 0.3030, 0.5000], [0.4792, 0.8030, 0.5000], [0.5208, 0.1970, 0.5000], [0.9792, 0.6970, 0.5000], [0.0991, 0.8557, 0.5000], [0.2307, 0.5698, 0.5000], [0.2693, 0.0698, 0.5000], [0.4009, 0.3557, 0.5000], [0.5991, 0.6443, 0.5000], [0.7307, 0.9302, 0.5000], [0.7693, 0.4302, 0.5000], [0.9009, 0.1443, 0.5000]]}